PBE Mn2GaSn, optimized geometry; symmetry = I-42d; M_tot = 0.0 μB/cell; electronic total energy = -5.83 eV/atom
1.0
3.9023 0.0000 0.0000
0.0000 3.9023 0.0000
0.0000 0.0000 17.4932
Mn Ga Sn
8 4 4
Direct
0.1414 0.2500 0.1250 Mn
0.2500 0.6414 0.3750 Mn
0.2500 0.8586 0.8750 Mn
0.3586 0.2500 0.6250 Mn
0.6414 0.7500 0.6250 Mn
0.7500 0.1414 0.8750 Mn
0.7500 0.3586 0.3750 Mn
0.8586 0.7500 0.1250 Mn
0.0000 0.0000 0.0000 Ga
0.0000 0.5000 0.2500 Ga
0.5000 0.0000 0.7500 Ga
0.5000 0.5000 0.5000 Ga
0.0000 0.0000 0.5000 Sn
0.0000 0.5000 0.7500 Sn
0.5000 0.0000 0.2500 Sn
0.5000 0.5000 0.0000 Sn